1.
DFT (PBE) results for crystalline HoSc2ZnAu4 at its relaxed geometry.

Calculated values
The value obtained for the formation energy is -0.698 eV/atom. Its total energy is -4.6508 eV/atom. The calculation puts the total magnetization at 0.000 μB per formula unit. As for the space-group type: R-3m (166).

Cell and atoms, written as POSCAR:
```
HoSc2ZnAu4
1.0
4.7485 0.0000 0.0000
2.3743 4.1123 0.0000
2.3743 1.3708 8.1205
Ho Sc Zn Au
1 2 1 4
Direct
0.0000 0.0000 0.0000
0.7585 0.7585 0.7245
0.2415 0.2415 0.2755
0.5000 0.5000 0.5000
0.3859 0.3859 0.8422
0.8768 0.8768 0.3695
0.1232 0.1232 0.6305
0.6141 0.6141 0.1578
```

2.
DFT (PBE) results for crystalline LaPr2InC at its relaxed geometry.

Calculated values
The value obtained for the formation energy is -0.300 eV/atom. Its total energy is -5.5893 eV/atom. The calculation puts the total magnetization at 0.000 μB per formula unit. As for the space-group type: P4/mmm (123).

Cell and atoms, written as POSCAR:
```
LaPr2InC
1.0
5.1872 0.0000 0.0000
0.0000 5.2053 0.0000
0.0000 0.0000 5.2053
La Pr In C
1 2 1 1
Direct
0.5000 0.0000 0.0000
0.0000 0.0000 0.5000
0.0000 0.5000 0.0000
0.5000 0.5000 0.5000
0.0000 0.0000 0.0000
```

3.
DFT (PBE) results for crystalline YTm2Zn3 at its relaxed geometry.

Calculated values
The value obtained for the formation energy is -0.354 eV/atom. Its total energy is -3.5586 eV/atom. The calculation puts the total magnetization at 0.001 μB per formula unit. As for the space-group type: P4/mmm (123).

Cell and atoms, written as POSCAR:
```
YTm2Zn3
1.0
-0.1612 3.4525 -0.7719
-2.0286 -0.7233 -2.8113
-8.6993 0.9431 6.0348
Y Tm Zn
1 2 3
Direct
0.5000 0.5000 0.5000
0.5000 0.5000 0.8351
0.5000 0.5000 0.1649
0.0000 0.0000 0.0000
0.0000 0.0000 0.6724
0.0000 0.0000 0.3276
```

4.
DFT (PBE) results for crystalline CuMo2Ru at its relaxed geometry.

Calculated values
The value obtained for the formation energy is 0.147 eV/atom. Its total energy is -8.6114 eV/atom. The calculation puts the total magnetization at 0.000 μB per formula unit. As for the space-group type: Cmmm (65).

Cell and atoms, written as POSCAR:
```
CuMo2Ru
1.0
4.7428 -0.0056 0.0000
-1.6800 4.4353 0.0000
0.0000 0.0000 2.7503
Cu Mo Ru
1 2 1
Direct
0.0000 0.5000 0.5000
0.0000 0.0000 0.0000
0.5000 0.5000 0.0000
0.5000 0.0000 0.5000
```

5.
DFT (PBE) results for crystalline Ga3FeGe at its relaxed geometry.

Calculated values
The value obtained for the formation energy is 0.242 eV/atom. Its total energy is -4.1906 eV/atom. The calculation puts the total magnetization at 1.149 μB per formula unit. As for the space-group type: Pm-3m (221).

Cell and atoms, written as POSCAR:
```
Ga3FeGe
1.0
-1.6539 2.4105 3.4824
-1.7742 -3.7890 1.7800
3.8457 -0.7114 2.3189
Ge Fe Ga
1 1 3
Direct
0.5000 0.5000 0.5000
0.0000 0.0000 0.0000
0.0000 0.5000 0.0000
0.0000 0.0000 0.5000
0.5000 0.0000 0.0000
```

6.
DFT (PBE) results for crystalline NpTl3Te3 at its relaxed geometry.

Calculated values
Its total energy is -4.6440 eV/atom. The formation energy (no corrections) is -434.8 meV/atom. The calculation puts the total magnetization at 3.999 μB per formula unit. As for the space-group type: P2_1/m (11).

Cell and atoms, written as POSCAR:
```
NpTl3Te3
1.0
-2.1704 -2.2411 3.3251
7.6489 -5.4333 1.3306
3.0201 9.5678 8.4200
Np Tl Te
2 6 6
Direct
0.2500 0.8606 0.3684
0.7500 0.1394 0.6316
0.2500 0.3569 0.3842
0.7500 0.6431 0.6158
0.2500 0.8974 0.8624
0.7500 0.1026 0.1376
0.2500 0.3908 0.8881
0.7500 0.6092 0.1119
0.2500 0.3681 0.6386
0.7500 0.6319 0.3614
0.2500 0.9112 0.6092
0.7500 0.0888 0.3908
0.2500 0.8543 0.1292
0.7500 0.1457 0.8708
```

7.
DFT (PBE) results for crystalline Ca2CdCuH at its relaxed geometry.

Calculated values
Its total energy is -2.7029 eV/atom. The calculation puts the total magnetization at 0.000 μB per formula unit. As for the space-group type: P4/mmm (123).

Cell and atoms, written as POSCAR:
```
Ca2CdCuH
1.0
5.1422 0.0000 0.0000
0.0000 3.8042 0.0000
0.0000 0.0000 5.1422
H Ca Cu Cd
1 2 1 1
Direct
0.0000 0.0000 0.0000
0.0000 0.0000 0.5000
0.5000 0.0000 0.0000
0.0000 0.5000 0.0000
0.5000 0.5000 0.5000
```

8.
DFT (PBE) results for crystalline PmHg2SeO8 at its relaxed geometry.

Calculated values
Its total energy is -4.5939 eV/atom. The formation energy (no corrections) is -551.9 meV/atom. The calculation puts the total magnetization at 3.034 μB per formula unit. As for the space-group type: P-3m1 (164).

Cell and atoms, written as POSCAR:
```
PmHg2SeO8
1.0
5.8273 0.0000 0.0000
-2.9136 5.0466 0.0000
0.0000 0.0000 6.0969
Pm Hg Se O
1 2 1 8
Direct
0.0000 0.0000 0.5000
0.6667 0.3333 0.0507
0.3333 0.6667 0.9493
0.0000 0.0000 0.0000
0.8553 0.7106 0.8187
0.2894 0.1447 0.8187
0.8553 0.1447 0.8187
0.1447 0.2894 0.1813
0.7106 0.8553 0.1813
0.1447 0.8553 0.1813
0.6667 0.3333 0.3957
0.3333 0.6667 0.6043
```

9.
DFT (PBE) results for crystalline PmBePt at its relaxed geometry.

Calculated values
The value obtained for the formation energy is -0.766 eV/atom. Its total energy is -5.6056 eV/atom. The calculation puts the total magnetization at 0.000 μB per formula unit. As for the space-group type: Pmmn (59).

Cell and atoms, written as POSCAR:
```
PmBePt
1.0
-3.6814 -1.3240 -0.4154
1.2125 -2.3091 -3.3856
1.4212 -5.2308 4.0767
Pm Pt Be
2 2 2
Direct
0.5000 0.0000 0.6756
0.0000 0.5000 0.3244
0.5000 0.0000 0.1896
0.0000 0.5000 0.8104
0.0000 0.0000 0.0003
0.5000 0.5000 0.9997
```

10.
DFT (PBE) results for crystalline Rb2NaCdHg6 at its relaxed geometry.

Calculated values
The value obtained for the formation energy is -0.096 eV/atom. Its total energy is -0.6944 eV/atom. The calculation puts the total magnetization at 0.000 μB per formula unit. As for the space-group type: Fm-3m (225).

Cell and atoms, written as POSCAR:
```
Rb2NaCdHg6
1.0
8.2516 -0.0004 0.0000
0.0005 8.2516 0.0000
4.1260 4.1256 5.8348
Rb Na Cd Hg
2 1 1 6
Direct
0.2500 0.7500 0.5000
0.7500 0.2500 0.5000
0.5000 0.5000 0.0000
0.0000 0.0000 0.0000
0.2501 0.7499 0.0000
0.7499 0.7499 0.0000
0.2501 0.2501 0.4998
0.7499 0.2501 0.0000
0.2501 0.2501 0.0000
0.7499 0.7499 0.5002
```

11.
DFT (PBE) results for crystalline ScTi2Zn2 at its relaxed geometry.

Calculated values
The value obtained for the formation energy is -0.071 eV/atom. Its total energy is -5.0045 eV/atom. The calculation puts the total magnetization at 0.003 μB per formula unit. As for the space-group type: P4/mbm (127).

Cell and atoms, written as POSCAR:
```
ScTi2Zn2
1.0
7.4417 0.0000 0.0000
0.0000 7.4417 0.0000
0.0000 0.0000 3.1729
Sc Zn Ti
2 4 4
Direct
0.0000 0.0000 0.0000
0.5000 0.5000 0.0000
0.3739 0.8739 0.0000
0.8739 0.6261 0.0000
0.6261 0.1261 0.0000
0.1261 0.3739 0.0000
0.1717 0.6717 0.5000
0.6717 0.8283 0.5000
0.8283 0.3283 0.5000
0.3283 0.1717 0.5000
```

12.
DFT (PBE) results for crystalline GaTe3Pb at its relaxed geometry.

Calculated values
Its total energy is -3.1092 eV/atom. The formation energy (no corrections) is 122.9 meV/atom. The calculation puts the total magnetization at 0.000 μB per formula unit. As for the space-group type: Pm-3m (221).

Cell and atoms, written as POSCAR:
```
GaTe3Pb
1.0
-2.7142 4.7032 -0.1048
-3.5984 -1.9976 3.5439
3.0303 1.8405 4.1144
Pb Te Ga
1 3 1
Direct
0.5000 0.5000 0.5000
0.0000 0.5000 0.0000
0.0000 0.0000 0.5000
0.5000 0.0000 0.0000
0.0000 0.0000 0.0000
```